# SmCd2SbO6 (PBE, optimized geometry)
data_SmCd2SbO6
_space_group_name_H-M_alt 'P 1'
_space_group_IT_number 1
_cell_length_a 5.7047
_cell_length_b 5.7048
_cell_length_c 5.9840
_cell_angle_alpha 61.53
_cell_angle_beta 61.53
_cell_angle_gamma 60.00
loop_
_space_group_symop_operation_xyz
'x,y,z'
loop_
_atom_site_label
_atom_site_type_symbol
_atom_site_fract_x
_atom_site_fract_y
_atom_site_fract_z
O1 O 0.6714 0.1162 0.7867
O2 O 0.9713 0.5685 0.2547
O3 O 0.5684 0.2056 0.2547
O4 O 0.1163 0.4256 0.7867
O5 O 0.4257 0.6714 0.7866
O6 O 0.2056 0.9713 0.2547
Cd1 Cd 0.0322 0.0322 0.9034
Cd2 Cd 0.5397 0.5397 0.3810
Sb1 Sb 0.3193 0.3193 0.0420
Sm1 Sm 0.8118 0.8118 0.5647
# Symmetry = R3, No. 146
# Energy relative to the elements, uncorrected = -1.82 eV per atom

***

# B2C (PBE, optimized geometry)
data_B2C
_space_group_name_H-M_alt 'P 1'
_space_group_IT_number 1
_cell_length_a 2.8368
_cell_length_b 4.8467
_cell_length_c 5.9067
_cell_angle_alpha 69.21
_cell_angle_beta 90.00
_cell_angle_gamma 90.00
loop_
_space_group_symop_operation_xyz
'x,y,z'
loop_
_atom_site_label
_atom_site_type_symbol
_atom_site_fract_x
_atom_site_fract_y
_atom_site_fract_z
B1 B 0.2500 0.8847 0.8812
B2 B 0.2500 0.2398 0.2393
B3 B 0.2500 0.2243 0.9188
B4 B 0.7500 0.7602 0.7607
B5 B 0.7500 0.1273 0.4573
B6 B 0.7500 0.7757 0.0812
B7 B 0.2500 0.8727 0.5427
B8 B 0.7500 0.1153 0.1188
C1 C 0.7500 0.4085 0.5515
C2 C 0.2500 0.5928 0.1894
C3 C 0.7500 0.4072 0.8106
C4 C 0.2500 0.5915 0.4485
# Polymorph energy (0 for the lowest one) = 287 meV/atom
# Symmetry = P2_1/m, No. 11
# DFT formation energy = 1.42 eV per formula unit

***

# Pm2Sn3BiRh4 (PBE, optimized geometry)
data_Pm2Sn3BiRh4
_space_group_name_H-M_alt 'P 1'
_space_group_IT_number 1
_cell_length_a 4.4893
_cell_length_b 4.4893
_cell_length_c 10.9811
_cell_angle_alpha 90.00
_cell_angle_beta 90.00
_cell_angle_gamma 90.00
loop_
_space_group_symop_operation_xyz
'x,y,z'
loop_
_atom_site_label
_atom_site_type_symbol
_atom_site_fract_x
_atom_site_fract_y
_atom_site_fract_z
Pm1 Pm 0.5000 0.0000 0.2418
Pm2 Pm 0.0000 0.5000 0.7582
Bi1 Bi 0.5000 0.5000 0.5000
Sn1 Sn 0.0000 0.0000 0.5000
Sn2 Sn 0.0000 0.5000 0.1274
Sn3 Sn 0.5000 0.0000 0.8726
Rh1 Rh 0.0000 0.0000 0.0000
Rh2 Rh 0.5000 0.5000 0.0000
Rh3 Rh 0.5000 0.0000 0.6386
Rh4 Rh 0.0000 0.5000 0.3614
# Symmetry = P-4m2, No. 115
# DFT formation energy = -6.27 eV per formula unit

***

Question: Which formula does entry 3 have?
Answer: Pm2Sn3BiRh4